18
Lattice="-2.900 0.083 -6.570 6.552 -0.490 -2.898 -2.262 -6.279 4.844" Properties=species:S:1:pos:R:3 comment="Ba2SrPtO5, optimized geometry, DFT PBE" vol_a3_per_atom=18.6 formation_energy_uncorrected_mev_per_atom=-1717 dft_energy_ev_per_atom=-5.76 spacegroup="No. 140" pbc="T T T"
O -2.234 -4.603 -1.992
O 1.826 -0.203 -4.734
O -0.359 -1.817 -2.784
O 0.000 0.000 0.000
O 4.171 -5.015 -0.899
O -1.298 -4.707 -4.418
O -2.781 -1.670 -3.725
O 1.749 -4.868 -1.840
O 3.624 -2.083 -2.632
O 2.688 -1.978 -0.206
Ba 1.592 -0.143 -2.103
Ba 4.452 -0.376 -4.496
Ba 2.061 -0.264 -7.364
Ba -0.799 -0.031 -4.972
Sr 1.608 -3.445 -4.679
Sr -0.218 -3.241 0.055
Pt 3.058 -3.486 -1.394
Pt -1.668 -3.200 -3.230